First-principles (PBE) data for crystalline TbErPuPb at its relaxed geometry, as listed in Alexandria via LeMat-Bulk.

a b c (Å): 5.4603 5.4603 5.4603
angles (deg): 60.00 60.00 60.00
Last column: nearest neighbours and their distance in Å.
Fractional coordinates of all 4 atoms:
Pb (0.0000, 0.0000, 0.0000)  4 Tb 3.34, 4 Pu 3.34
Pu (0.2500, 0.2500, 0.2500)  4 Pb 3.34, 4 Er 3.34
Tb (0.7500, 0.7500, 0.7500)  4 Pb 3.34, 4 Er 3.34
Er (0.5000, 0.5000, 0.5000)  4 Tb 3.34, 4 Pu 3.34

Computed properties:
- energy relative to the elements (eV per atom) = -0.001
- space group = F-43m, No. 216
- Fermi-level density of states (states/eV/cell) = 10.7



First-principles (PBE) data for crystalline ErPuTlPb at its relaxed geometry, as listed in Alexandria via LeMat-Bulk.

a b c (Å): 5.4042 5.4042 5.4042
angles (deg): 60.00 60.00 60.00
Last column: nearest neighbours and their distance in Å.
Fractional coordinates of all 4 atoms:
Pb (0.5000, 0.5000, 0.5000)  4 Pu 3.31, 4 Er 3.31
Er (0.2500, 0.2500, 0.2500)  4 Pb 3.31, 4 Tl 3.31
Tl (0.0000, 0.0000, 0.0000)  4 Er 3.31, 4 Pu 3.31
Pu (0.7500, 0.7500, 0.7500)  4 Tl 3.31, 4 Pb 3.31

Computed properties:
- energy relative to the elements (eV per atom) = -0.185
- space group = F-43m, No. 216
- E above lowest polymorph (meV per atom) = 38
- Fermi-level density of states (states/eV/cell) = 10.9



First-principles (PBE) data for crystalline ErPuTlPb at its relaxed geometry, as listed in Alexandria via LeMat-Bulk.

a b c (Å): 3.4491 3.4491 9.1941
angles (deg): 90.00 90.00 90.00
Last column: nearest neighbours and their distance in Å.
Fractional coordinates of all 4 atoms:
Er (0.5000, 0.5000, 0.6089)  4 Tl 3.31, 4 Pb 3.33, 4 Er 3.45
Pb (0.0000, 0.0000, 0.3618)  4 Er 3.33, 4 Pu 3.40, 4 Pb 3.45
Tl (0.0000, 0.0000, 0.8524)  4 Er 3.31, 4 Pu 3.37, 4 Tl 3.45
Pu (0.5000, 0.5000, 0.1048)  4 Tl 3.37, 4 Pb 3.40, 4 Pu 3.45

Computed properties:
- energy relative to the elements (eV per atom) = -0.224
- space group = P4mm, No. 99
- E above lowest polymorph (meV per atom) = 0
- Fermi-level density of states (states/eV/cell) = 8.8



First-principles (PBE) data for crystalline RbErPb at its relaxed geometry, as listed in Alexandria via LeMat-Bulk.

a b c (Å): 3.5986 11.0556 8.5614
angles (deg): 51.04 90.00 99.37
Last column: nearest neighbours and their distance in Å.
Fractional coordinates of all 6 atoms:
Er (0.9827, 0.9655, 0.7227)  2 Pb 3.08-3.10, 1 Er 3.38
Er (0.0173, 0.0345, 0.2773)  2 Pb 3.08-3.10, 1 Er 3.38
Rb (0.7066, 0.4132, 0.3055)  2 Rb 3.60, 3 Pb 3.70-3.89
Rb (0.2934, 0.5868, 0.6945)  2 Rb 3.60, 3 Pb 3.70-3.89
Pb (0.0961, 0.1923, 0.8244)  2 Er 3.08-3.10, 1 Pb 3.25
Pb (0.9039, 0.8077, 0.1756)  2 Er 3.08-3.10, 1 Pb 3.25

Computed properties:
- energy relative to the elements (eV per atom) = 0.215
- space group = C2/m, No. 12
- Fermi-level density of states (states/eV/cell) = 3.5



First-principles (PBE) data for crystalline RbErPb2 at its relaxed geometry, as listed in Alexandria via LeMat-Bulk.

a b c (Å): 3.7979 3.7979 11.2747
angles (deg): 80.30 80.30 60.00
Last column: nearest neighbours and their distance in Å.
Fractional coordinates of all 4 atoms:
Er (0.0000, 0.0000, 0.0000)  6 Pb 3.30
Pb (0.2589, 0.2589, 0.2233)  3 Er 3.30
Pb (0.7411, 0.7411, 0.7767)  3 Er 3.30
Rb (0.5000, 0.5000, 0.5000)  6 Pb 3.76, 6 Rb 3.80

Computed properties:
- energy relative to the elements (eV per atom) = -0.154
- space group = R-3m, No. 166
- E above lowest polymorph (meV per atom) = 130
- Fermi-level density of states (states/eV/cell) = 1.6



First-principles (PBE) data for crystalline RbErPb2 at its relaxed geometry, as listed in Alexandria via LeMat-Bulk.

a b c (Å): 4.1075 4.1075 8.3845
angles (deg): 90.00 90.00 90.00
Last column: nearest neighbours and their distance in Å.
Fractional coordinates of all 4 atoms:
Er (0.5000, 0.5000, 0.0000)  8 Pb 3.30
Pb (0.0000, 0.0000, 0.8122)  1 Pb 3.15, 4 Er 3.30
Pb (0.0000, 0.0000, 0.1878)  1 Pb 3.15, 4 Er 3.30
Rb (0.5000, 0.5000, 0.5000)  8 Pb 3.91, 4 Rb 4.11, 2 Er 4.19

Computed properties:
- energy relative to the elements (eV per atom) = -0.285
- space group = P4/mmm, No. 123
- E above lowest polymorph (meV per atom) = 0
- Fermi-level density of states (states/eV/cell) = 1.7



First-principles (PBE) data for crystalline Rb3Er2PbS6 at its relaxed geometry, as listed in Alexandria via LeMat-Bulk.

a b c (Å): 7.1099 7.1099 8.0425
angles (deg): 98.46 98.46 120.00
Last column: nearest neighbours and their distance in Å.
Fractional coordinates of all 12 atoms:
S (0.4123, 0.0648, 0.1942)  2 Er 2.76, 1 Pb 2.89
S (0.7169, 0.7169, 0.1930)  2 Er 2.76, 1 Pb 2.88
S (0.2831, 0.2831, 0.8070)  2 Er 2.76, 1 Pb 2.88
S (0.9352, 0.5877, 0.8058)  2 Er 2.76, 1 Pb 2.89
S (0.5877, 0.9352, 0.8058)  2 Er 2.76, 1 Pb 2.89
S (0.0648, 0.4123, 0.1942)  2 Er 2.76, 1 Pb 2.89
Rb (0.8371, 0.1629, 0.5000)  6 S 3.30-3.38
Rb (0.1629, 0.8371, 0.5000)  6 S 3.30-3.38
Rb (0.5000, 0.5000, 0.5000)  6 S 3.27-3.38
Er (0.6671, 0.3329, 0.0000)  6 S 2.76
Er (0.3329, 0.6671, 0.0000)  6 S 2.76
Pb (0.0000, 0.0000, 0.0000)  6 S 2.88-2.89

Computed properties:
- ΔE_f (raw) (eV per atom) = -1.4343
- space group = C2/m, No. 12
- Fermi-level density of states (states/eV/cell) = 4.5



First-principles (PBE) data for crystalline Rb3Er2Te6Pb at its relaxed geometry, as listed in Alexandria via LeMat-Bulk.

a b c (Å): 7.8719 7.8719 9.0186
angles (deg): 98.37 98.37 120.05
Last column: nearest neighbours and their distance in Å.
Fractional coordinates of all 12 atoms:
Te (0.2840, 0.2840, 0.8008)  2 Er 3.09, 1 Pb 3.25
Te (0.5823, 0.9323, 0.7987)  2 Er 3.09, 1 Pb 3.26
Te (0.0677, 0.4177, 0.2013)  2 Er 3.09, 1 Pb 3.26
Te (0.9323, 0.5823, 0.7987)  2 Er 3.09, 1 Pb 3.26
Te (0.4177, 0.0677, 0.2013)  2 Er 3.09, 1 Pb 3.26
Te (0.7160, 0.7160, 0.1992)  2 Er 3.09, 1 Pb 3.25
Rb (0.5000, 0.5000, 0.5000)  6 Te 3.60-3.72
Rb (0.8388, 0.1612, 0.5000)  6 Te 3.63-3.73
Rb (0.1612, 0.8388, 0.5000)  6 Te 3.63-3.73
Er (0.6675, 0.3325, 0.0000)  6 Te 3.09
Er (0.3325, 0.6675, 0.0000)  6 Te 3.09
Pb (0.0000, 0.0000, 0.0000)  6 Te 3.25-3.26

Computed properties:
- ΔE_f (raw) (eV per atom) = -1.0807
- space group = C2/m, No. 12
- Fermi-level density of states (states/eV/cell) = 8.7



First-principles (PBE) data for crystalline RbErTe3Pb at its relaxed geometry, as listed in Alexandria via LeMat-Bulk.

a b c (Å): 4.4815 9.5614 12.0687
angles (deg): 108.48 90.00 90.00
Last column: nearest neighbours and their distance in Å.
Fractional coordinates of all 12 atoms:
Te (0.2500, 0.6358, 0.4125)  2 Pb 3.03, 1 Er 3.14
Te (0.7500, 0.3642, 0.5875)  2 Pb 3.03, 1 Er 3.14
Te (0.7500, 0.8727, 0.1953)  1 Pb 2.97, 2 Er 3.13
Te (0.7500, 0.4026, 0.1078)  3 Er 3.04-3.07
Te (0.2500, 0.5974, 0.8922)  3 Er 3.04-3.07
Te (0.2500, 0.1273, 0.8047)  1 Pb 2.97, 2 Er 3.13
Rb (0.7500, 0.7874, 0.7477)  5 Te 3.66-3.89, 1 Pb 4.01
Rb (0.2500, 0.2126, 0.2523)  5 Te 3.66-3.89, 1 Pb 4.01
Er (0.2500, 0.6328, 0.1514)  6 Te 3.04-3.14
Er (0.7500, 0.3672, 0.8486)  6 Te 3.04-3.14
Pb (0.2500, 0.1431, 0.5629)  3 Te 2.97-3.03
Pb (0.7500, 0.8569, 0.4371)  3 Te 2.97-3.03

Computed properties:
- ΔE_f (raw) (eV per atom) = -0.9895
- space group = P2_1/m, No. 11



First-principles (PBE) data for crystalline RbEr2Te6Pb3 at its relaxed geometry, as listed in Alexandria via LeMat-Bulk.

a b c (Å): 4.4341 9.8968 10.1546
angles (deg): 100.01 102.61 90.00
Last column: nearest neighbours and their distance in Å.
Fractional coordinates of all 12 atoms:
Er (0.1708, 0.3342, 0.3416)  6 Te 2.99-3.16
Er (0.8292, 0.6658, 0.6584)  6 Te 2.99-3.16
Te (0.6693, 0.5595, 0.3385)  3 Er 3.15-3.16, 3 Pb 3.30-3.48
Te (0.3307, 0.4405, 0.6615)  3 Er 3.15-3.16, 3 Pb 3.30-3.48
Te (0.3168, 0.8783, 0.6336)  1 Pb 3.09, 2 Er 3.10
Te (0.0173, 0.2771, 0.0347)  1 Er 2.99, 2 Pb 3.19
Te (0.9827, 0.7229, 0.9653)  1 Er 2.99, 2 Pb 3.19
Te (0.6832, 0.1217, 0.3664)  1 Pb 3.09, 2 Er 3.10
Pb (0.8418, 0.1737, 0.6835)  2 Te 3.09-3.45
Pb (0.5000, 0.5000, 0.0000)  6 Te 3.19-3.30
Pb (0.1582, 0.8263, 0.3165)  2 Te 3.09-3.45
Rb (0.5000, 0.0000, 0.0000)  6 Te 3.50-3.62

Computed properties:
- ΔE_f (raw) (eV per atom) = -0.7837
- space group = C2/m, No. 12
- Fermi-level density of states (states/eV/cell) = 4.4



First-principles (PBE) data for crystalline Er3RhPb at its relaxed geometry, as listed in Alexandria via LeMat-Bulk.

a b c (Å): 6.4371 9.0748 10.8150
angles (deg): 114.81 113.67 90.00
Last column: nearest neighbours and their distance in Å.
Fractional coordinates of all 20 atoms:
Rh (0.2500, 0.4994, 0.0000)  6 Er 2.80-2.89
Rh (0.7500, 0.5006, 0.0000)  6 Er 2.80-2.89
Rh (0.7500, 0.9947, 0.0000)  6 Er 2.82-2.85
Rh (0.2500, 0.0053, 0.0000)  6 Er 2.82-2.85
Er (0.3523, 0.1226, 0.3086)  1 Rh 2.82
Er (0.1145, 0.7347, 0.2708)  1 Rh 2.80, 1 Pb 3.06
Er (0.4585, 0.2115, 0.9265)  4 Rh 2.83-2.89
Er (0.1477, 0.8141, 0.6914)  1 Rh 2.82
Er (0.3855, 0.4639, 0.7292)  1 Rh 2.80, 1 Pb 3.06
Er (0.6145, 0.5361, 0.2708)  1 Rh 2.80, 1 Pb 3.06
Er (0.0415, 0.2850, 0.0735)  4 Rh 2.83-2.89
Er (0.8855, 0.2653, 0.7292)  1 Rh 2.80, 1 Pb 3.06
Er (0.6477, 0.8774, 0.6914)  1 Rh 2.82
Er (0.9585, 0.7150, 0.9265)  4 Rh 2.83-2.89
Er (0.5415, 0.7885, 0.0735)  4 Rh 2.83-2.89
Er (0.8523, 0.1859, 0.3086)  1 Rh 2.82
Pb (0.2278, 0.5134, 0.4293)  5 Er 3.06-3.25, 1 Pb 3.27
Pb (0.2722, 0.0841, 0.5707)  5 Er 3.06-3.25, 1 Pb 3.27
Pb (0.7722, 0.4866, 0.5707)  5 Er 3.06-3.25, 1 Pb 3.27
Pb (0.7278, 0.9159, 0.4293)  5 Er 3.06-3.25, 1 Pb 3.27

Computed properties:
- energy relative to the elements (eV per atom) = -0.567
- space group = C2/c, No. 15
- E above lowest polymorph (meV per atom) = 0
- Fermi-level density of states (states/eV/cell) = 11.7